1.
DFT (PBE) results for an optimized crystal structure of LaY2Ag.

Values from the calculation:
Relative energy among the computed polymorphs: 130.4 meV per atom
ΔH_f (0 K): -0.001 eV per atom
E_tot: -20.710 eV for the cell shown

a = 3.7539 Å, b = 5.6469 Å, c = 7.9146 Å
α = 44.38°, β = 90.00°, γ = 90.00°
Closest atoms and distances in Å follow each position.
Positions (direct):
La: 0.0000 0.0000 0.5000  4 Y 3.34, 4 Ag 3.39
Ag: 0.5000 0.5000 0.5000  4 Y 3.34, 4 La 3.39
Y: 0.0000 0.0000 0.0000  4 Ag 3.34, 4 Y 3.39
Y: 0.5000 0.5000 0.0000  4 La 3.34, 4 Y 3.39

---

2.
DFT (PBE) results for an optimized crystal structure of La2Y2Ag.

Values from the calculation:
Relative energy among the computed polymorphs: 0.0 meV per atom
ΔH_f (0 K): -0.102 eV per atom
E_tot: -26.146 eV for the cell shown

a = 3.6854 Å, b = 3.6854 Å, c = 11.7025 Å
α = 99.06°, β = 99.06°, γ = 90.00°
Closest atoms and distances in Å follow each position.
Positions (direct):
Ag: 0.0000 0.0000 0.0000  8 Y 3.16
La: 0.1925 0.1925 0.3850  8 La 3.69-3.70, 4 Y 3.69
Y: 0.4219 0.4219 0.8438  4 Ag 3.16
La: 0.8075 0.8075 0.6150  8 La 3.69-3.70, 4 Y 3.69
Y: 0.5781 0.5781 0.1562  4 Ag 3.16

---

Number 2 is which compound?
La2Y2Ag

---

What is the E_tot in the second record?
-26.146 eV for the cell shown

---

The lowest ΔH_f (0 K) belongs to which entry?
La2Y2Ag